No. 1
TaAsPt2: relaxed, GGA-PBE.

```
data_TaAsPt2
_chemical_formula_sum 'Ta4 As4 Pt8'
_symmetry_space_group_name_H-M 'F -4 3 m'
_symmetry_Int_Tables_number 216
_symmetry_space_group_name_Hall 'F -4 2 3'
_cell_length_a 6.404
_cell_length_b 6.404
_cell_length_c 6.404
_cell_angle_alpha 90.00
_cell_angle_beta 90.00
_cell_angle_gamma 90.00
loop_
_atom_site_label
_atom_site_fract_x
_atom_site_fract_y
_atom_site_fract_z
Ta1 0.000 0.000 0.000
As1 0.250 0.250 0.750
Pt1 0.000 0.000 0.500
Pt2 0.250 0.250 0.250
```

Results
DFT formation energy: -26 kJ per mole of atoms
total magnetization: 0.000 Bohr magnetons per cell
calculated total energy: -7.417 eV/atom



No. 2
La4Co3Cu: relaxed, GGA-PBE.

```
data_La4Co3Cu
_chemical_formula_sum 'La4 Co3 Cu1'
_symmetry_space_group_name_H-M 'P m m 2'
_symmetry_Int_Tables_number 25
_cell_length_a 4.483
_cell_length_b 4.670
_cell_length_c 8.629
_cell_angle_alpha 90.00
_cell_angle_beta 90.00
_cell_angle_gamma 90.00
loop_
_symmetry_equiv_pos_as_xyz
'x,y,z'
'-x,-y,z'
'-x,y,z'
'x,-y,z'
loop_
_atom_site_label
_atom_site_fract_x
_atom_site_fract_y
_atom_site_fract_z
La1 0.000 0.000 0.000
La2 0.000 0.500 0.301
La3 0.500 0.000 0.468
La4 0.500 0.500 0.800
Co1 0.000 0.500 0.585
Co2 0.500 0.000 0.186
Co3 0.500 0.500 0.090
Cu1 0.000 0.000 0.673
```

Results
DFT formation energy: -9 kJ per mole of atoms
total magnetization: 0.000 Bohr magnetons per cell
calculated total energy: -5.736 eV/atom



No. 3
CsTbZrS4: relaxed, GGA-PBE.

```
data_CsTbZrS4
_chemical_formula_sum 'Cs2 Tb2 Zr2 S8'
_symmetry_space_group_name_H-M 'P 1 21/m 1'
_symmetry_Int_Tables_number 11
_cell_length_a 6.991
_cell_length_b 7.062
_cell_length_c 9.776
_cell_angle_alpha 90.00
_cell_angle_beta 110.49
_cell_angle_gamma 90.00
loop_
_symmetry_equiv_pos_as_xyz
'x,y,z'
'-x,-y,-z'
'-x,y+1/2,-z'
'x,-y+1/2,z'
loop_
_atom_site_label
_atom_site_fract_x
_atom_site_fract_y
_atom_site_fract_z
Cs1 0.221 0.250 0.448
Tb1 0.305 0.250 0.955
Zr1 0.245 0.750 0.152
S1 0.004 0.250 0.084
S2 0.041 0.750 0.306
S3 0.500 0.000 0.181
```

Results
total magnetization: 0.000 Bohr magnetons per cell
calculated total energy: -6.002 eV/atom



No. 4
InAgSn: relaxed, GGA-PBE.

```
data_InAgSn
_chemical_formula_sum 'In2 Ag2 Sn2'
_symmetry_space_group_name_H-M 'P 1'
_symmetry_Int_Tables_number 1
_cell_length_a 4.334
_cell_length_b 5.487
_cell_length_c 7.091
_cell_angle_alpha 76.64
_cell_angle_beta 72.91
_cell_angle_gamma 67.24
loop_
_symmetry_equiv_pos_as_xyz
'x,y,z'
loop_
_atom_site_label
_atom_site_fract_x
_atom_site_fract_y
_atom_site_fract_z
In1 0.000 0.000 0.000
In2 0.239 0.069 0.437
Ag1 0.686 0.877 0.744
Ag2 0.972 0.648 0.388
Sn1 0.411 0.461 0.696
Sn2 0.653 0.539 0.130
```

Results
DFT formation energy: 2 kJ per mole of atoms
total magnetization: 0.000 Bohr magnetons per cell
calculated total energy: -3.175 eV/atom



No. 5
Rb2Ga2I7: relaxed, GGA-PBE.

```
data_Rb2Ga2I7
_chemical_formula_sum 'Rb4 Ga4 I14'
_symmetry_space_group_name_H-M 'P 1 21/c 1'
_symmetry_Int_Tables_number 14
_cell_length_a 7.009
_cell_length_b 17.900
_cell_length_c 9.514
_cell_angle_alpha 90.00
_cell_angle_beta 101.61
_cell_angle_gamma 90.00
loop_
_symmetry_equiv_pos_as_xyz
'x,y,z'
'-x,-y,-z'
'-x,y+1/2,-z+1/2'
'x,-y+1/2,z+1/2'
loop_
_atom_site_label
_atom_site_fract_x
_atom_site_fract_y
_atom_site_fract_z
Rb1 0.127 0.152 0.440
Ga1 0.316 0.607 0.635
I1 0.004 0.155 0.039
I2 0.220 0.550 0.871
I3 0.461 0.224 0.768
I4 0.500 0.000 0.000
```

Results
total magnetization: 0.000 Bohr magnetons per cell
calculated total energy: -2.519 eV/atom



No. 6
CsSn2Sb2: relaxed, GGA-PBE.

```
data_CsSn2Sb2
_chemical_formula_sum 'Cs2 Sn4 Sb4'
_symmetry_space_group_name_H-M 'I 4/m m m'
_symmetry_Int_Tables_number 139
_symmetry_space_group_name_Hall '-I 4 2'
_cell_length_a 5.346
_cell_length_b 5.346
_cell_length_c 13.923
_cell_angle_alpha 90.00
_cell_angle_beta 90.00
_cell_angle_gamma 90.00
loop_
_atom_site_label
_atom_site_fract_x
_atom_site_fract_y
_atom_site_fract_z
Cs1 0.000 0.000 0.000
Sn1 0.000 0.500 0.250
Sb1 0.000 0.000 0.354
```

Results
total magnetization: 0.000 Bohr magnetons per cell
calculated total energy: -3.619 eV/atom



No. 7
Tb6Ho2Er3Mg: relaxed, GGA-PBE.

```
data_Tb6Ho2Er3Mg
_chemical_formula_sum 'Tb12 Ho4 Er6 Mg2'
_symmetry_space_group_name_H-M 'C 1 2/m 1'
_symmetry_Int_Tables_number 12
_cell_length_a 6.101
_cell_length_b 10.573
_cell_length_c 11.611
_cell_angle_alpha 90.00
_cell_angle_beta 100.15
_cell_angle_gamma 90.00
loop_
_symmetry_equiv_pos_as_xyz
'x,y,z'
'-x,-y,-z'
'-x,y,-z'
'x,-y,z'
'x+1/2,y+1/2,z'
'-x+1/2,-y+1/2,-z'
'-x+1/2,y+1/2,-z'
'x+1/2,-y+1/2,z'
loop_
_atom_site_label
_atom_site_fract_x
_atom_site_fract_y
_atom_site_fract_z
Tb1 0.249 0.000 0.250
Tb2 0.249 0.334 0.249
Ho1 0.000 0.166 0.000
Er1 0.000 0.000 0.500
Er2 0.000 0.334 0.500
Mg1 0.000 0.500 0.000
```

Results
DFT formation energy: 3 kJ per mole of atoms
total magnetization: 0.000 Bohr magnetons per cell
calculated total energy: -4.326 eV/atom



No. 8
Ba2YTl: relaxed, GGA-PBE.

```
data_Ba2YTl
_chemical_formula_sum 'Ba2 Y1 Tl1'
_symmetry_space_group_name_H-M 'P m m m'
_symmetry_Int_Tables_number 47
_cell_length_a 4.047
_cell_length_b 5.202
_cell_length_c 7.717
_cell_angle_alpha 90.00
_cell_angle_beta 90.00
_cell_angle_gamma 90.00
loop_
_symmetry_equiv_pos_as_xyz
'x,y,z'
'-x,-y,-z'
'-x,-y,z'
'x,y,-z'
'x,-y,-z'
'-x,y,z'
'-x,y,-z'
'x,-y,z'
loop_
_atom_site_label
_atom_site_fract_x
_atom_site_fract_y
_atom_site_fract_z
Ba1 0.000 0.000 0.236
Y1 0.500 0.500 0.500
Tl1 0.500 0.500 0.000
```

Results
DFT formation energy: 2 kJ per mole of atoms
total magnetization: 0.350 Bohr magnetons per cell
calculated total energy: -3.152 eV/atom



No. 9
Ca2Zn3Ru: relaxed, GGA-PBE.

```
data_Ca2Zn3Ru
_chemical_formula_sum 'Ca4 Zn6 Ru2'
_symmetry_space_group_name_H-M 'I m m m'
_symmetry_Int_Tables_number 71
_symmetry_space_group_name_Hall '-I 2 2'
_cell_length_a 4.562
_cell_length_b 5.340
_cell_length_c 10.813
_cell_angle_alpha 90.00
_cell_angle_beta 90.00
_cell_angle_gamma 90.00
loop_
_atom_site_label
_atom_site_fract_x
_atom_site_fract_y
_atom_site_fract_z
Ca1 0.000 0.000 0.207
Zn1 0.000 0.500 0.110
Zn2 0.000 0.500 0.500
Ru1 0.000 0.000 0.500
```

Results
DFT formation energy: -3 kJ per mole of atoms
total magnetization: 0.000 Bohr magnetons per cell
calculated total energy: -2.876 eV/atom



No. 10
LaNdSmY: relaxed, GGA-PBE.

```
data_LaNdSmY
_chemical_formula_sum 'La2 Nd2 Sm2 Y2'
_symmetry_space_group_name_H-M 'I -4 m 2'
_symmetry_Int_Tables_number 119
_symmetry_space_group_name_Hall 'I -4 -2'
_cell_length_a 5.171
_cell_length_b 5.171
_cell_length_c 10.388
_cell_angle_alpha 90.00
_cell_angle_beta 90.00
_cell_angle_gamma 90.00
loop_
_atom_site_label
_atom_site_fract_x
_atom_site_fract_y
_atom_site_fract_z
La1 0.000 0.000 0.000
Nd1 0.000 0.500 0.250
Sm1 0.000 0.500 0.750
Y1 0.000 0.000 0.500
```

Results
DFT formation energy: 2 kJ per mole of atoms
total magnetization: 0.000 Bohr magnetons per cell
calculated total energy: -5.194 eV/atom



No. 11
Nd4Ag2Ir: relaxed, GGA-PBE.

```
data_Nd4Ag2Ir
_chemical_formula_sum 'Nd12 Ag6 Ir3'
_symmetry_space_group_name_H-M 'R -3 m'
_symmetry_Int_Tables_number 166
_symmetry_space_group_name_Hall '-R 3 2"'
_cell_length_a 5.1965
_cell_length_b 5.1965
_cell_length_c 25.2628
_cell_angle_alpha 90.00
_cell_angle_beta 90.00
_cell_angle_gamma 120.00
loop_
_atom_site_label
_atom_site_fract_x
_atom_site_fract_y
_atom_site_fract_z
Nd1 0.0000 0.0000 0.1189
Nd2 0.0000 0.0000 0.3706
Ag1 0.0000 0.0000 0.2439
Ir1 0.0000 0.0000 0.0000
```

Results
DFT formation energy: -25 kJ per mole of atoms
total magnetization: 0.001 Bohr magnetons per cell
calculated total energy: -5.059 eV/atom



No. 12
CsKRbBi: relaxed, GGA-PBE.

```
data_CsKRbBi
_chemical_formula_sum 'Cs4 K4 Rb4 Bi4'
_symmetry_space_group_name_H-M 'F -4 3 m'
_symmetry_Int_Tables_number 216
_symmetry_space_group_name_Hall 'F -4 2 3'
_cell_length_a 9.065
_cell_length_b 9.065
_cell_length_c 9.065
_cell_angle_alpha 90.00
_cell_angle_beta 90.00
_cell_angle_gamma 90.00
loop_
_atom_site_label
_atom_site_fract_x
_atom_site_fract_y
_atom_site_fract_z
Cs1 0.000 0.000 0.000
K1 0.250 0.250 0.750
Rb1 0.250 0.250 0.250
Bi1 0.000 0.000 0.500
```

Results
DFT formation energy: -33 kJ per mole of atoms
total magnetization: 0.000 Bohr magnetons per cell
calculated total energy: -2.043 eV/atom



No. 13
LiNiP3: relaxed, GGA-PBE.

```
data_LiNiP3
_chemical_formula_sum 'Li1 Ni1 P3'
_symmetry_space_group_name_H-M 'P m -3 m'
_symmetry_Int_Tables_number 221
_symmetry_space_group_name_Hall '-P 4 2 3'
_cell_length_a 4.467
_cell_length_b 4.467
_cell_length_c 4.467
_cell_angle_alpha 90.00
_cell_angle_beta 90.00
_cell_angle_gamma 90.00
loop_
_atom_site_label
_atom_site_fract_x
_atom_site_fract_y
_atom_site_fract_z
Li1 0.000 0.000 0.000
Ni1 0.500 0.500 0.500
P1 0.000 0.500 0.500
```

Results
DFT formation energy: 38 kJ per mole of atoms
total magnetization: 0.000 Bohr magnetons per cell
calculated total energy: -4.392 eV/atom



No. 14
Er6PS3N2: relaxed, GGA-PBE.

```
data_Er6PS3N2
_chemical_formula_sum 'Er12 P2 S6 N4'
_symmetry_space_group_name_H-M 'C 1 2/m 1'
_symmetry_Int_Tables_number 12
_cell_length_a 16.463
_cell_length_b 3.700
_cell_length_c 7.596
_cell_angle_alpha 90.00
_cell_angle_beta 104.91
_cell_angle_gamma 90.00
loop_
_symmetry_equiv_pos_as_xyz
'x,y,z'
'-x,-y,-z'
'-x,y,-z'
'x,-y,z'
'x+1/2,y+1/2,z'
'-x+1/2,-y+1/2,-z'
'-x+1/2,y+1/2,-z'
'x+1/2,-y+1/2,z'
loop_
_atom_site_label
_atom_site_fract_x
_atom_site_fract_y
_atom_site_fract_z
Er1 0.017 0.000 0.258
Er2 0.170 0.500 0.118
Er3 0.178 0.500 0.563
P1 0.000 0.500 0.000
S1 0.000 0.500 0.500
S2 0.163 0.000 0.831
N1 0.171 0.000 0.338
```

Results
total magnetization: 0.000 Bohr magnetons per cell
calculated total energy: -6.974 eV/atom



No. 15
LiB2: relaxed, GGA-PBE.

```
data_LiB2
_chemical_formula_sum 'Li1 B2'
_symmetry_space_group_name_H-M 'P 6/m m m'
_symmetry_Int_Tables_number 191
_symmetry_space_group_name_Hall '-P 6 2'
_cell_length_a 2.9828
_cell_length_b 2.9828
_cell_length_c 3.4163
_cell_angle_alpha 90.00
_cell_angle_beta 90.00
_cell_angle_gamma 120.00
loop_
_atom_site_label
_atom_site_fract_x
_atom_site_fract_y
_atom_site_fract_z
Li1 0.0000 0.0000 0.0000
B1 0.3333 0.6667 0.5000
```

Results
DFT formation energy: 0 kJ per mole of atoms
total magnetization: 0.000 Bohr magnetons per cell
calculated total energy: -5.085 eV/atom



No. 16
Cs4Np3TlO12: relaxed, GGA-PBE.

```
data_Cs4Np3TlO12
_chemical_formula_sum 'Cs8 Np6 Tl2 O24'
_symmetry_space_group_name_H-M 'I m -3 m'
_symmetry_Int_Tables_number 229
_symmetry_space_group_name_Hall '-I 4 2 3'
_cell_length_a 9.050
_cell_length_b 9.050
_cell_length_c 9.050
_cell_angle_alpha 90.00
_cell_angle_beta 90.00
_cell_angle_gamma 90.00
loop_
_atom_site_label
_atom_site_fract_x
_atom_site_fract_y
_atom_site_fract_z
Cs1 0.250 0.250 0.250
Np1 0.000 0.000 0.500
Tl1 0.000 0.000 0.000
O1 0.000 0.000 0.294
O2 0.000 0.250 0.500
```

Results
total magnetization: 4.000 Bohr magnetons per cell
calculated total energy: -7.544 eV/atom



No. 17
CoAg3N: relaxed, GGA-PBE.

```
data_CoAg3N
_chemical_formula_sum 'Co1 Ag3 N1'
_symmetry_space_group_name_H-M 'P m -3 m'
_symmetry_Int_Tables_number 221
_symmetry_space_group_name_Hall '-P 4 2 3'
_cell_length_a 4.304
_cell_length_b 4.304
_cell_length_c 4.304
_cell_angle_alpha 90.00
_cell_angle_beta 90.00
_cell_angle_gamma 90.00
loop_
_atom_site_label
_atom_site_fract_x
_atom_site_fract_y
_atom_site_fract_z
Co1 0.000 0.000 0.000
Ag1 0.000 0.500 0.500
N1 0.500 0.500 0.500
```

Results
total magnetization: 1.674 Bohr magnetons per cell
calculated total energy: -3.810 eV/atom



No. 18
Te2HOs: relaxed, GGA-PBE.

```
data_Te2HOs
_chemical_formula_sum 'Te8 H4 Os4'
_symmetry_space_group_name_H-M 'F m -3 m'
_symmetry_Int_Tables_number 225
_symmetry_space_group_name_Hall '-F 4 2 3'
_cell_length_a 6.462
_cell_length_b 6.462
_cell_length_c 6.462
_cell_angle_alpha 90.00
_cell_angle_beta 90.00
_cell_angle_gamma 90.00
loop_
_atom_site_label
_atom_site_fract_x
_atom_site_fract_y
_atom_site_fract_z
Te1 0.250 0.250 0.250
H1 0.000 0.000 0.000
Os1 0.000 0.000 0.500
```

Results
total magnetization: 0.000 Bohr magnetons per cell
calculated total energy: -4.636 eV/atom



No. 19
NbTcIr2Au: relaxed, GGA-PBE.

```
data_NbTcIr2Au
_chemical_formula_sum 'Nb1 Tc1 Ir2 Au1'
_symmetry_space_group_name_H-M 'P 4/m m m'
_symmetry_Int_Tables_number 123
_symmetry_space_group_name_Hall '-P 4 2'
_cell_length_a 4.776
_cell_length_b 4.776
_cell_length_c 4.711
_cell_angle_alpha 90.00
_cell_angle_beta 90.00
_cell_angle_gamma 90.00
loop_
_atom_site_label
_atom_site_fract_x
_atom_site_fract_y
_atom_site_fract_z
Nb1 0.000 0.000 0.000
Tc1 0.000 0.000 0.500
Ir1 0.000 0.500 0.000
Au1 0.500 0.500 0.500
```

Results
DFT formation energy: 158 kJ per mole of atoms
total magnetization: 2.340 Bohr magnetons per cell
calculated total energy: -6.654 eV/atom



No. 20
YGeRh2: relaxed, GGA-PBE.

```
data_YGeRh2
_chemical_formula_sum 'Y2 Ge2 Rh4'
_symmetry_space_group_name_H-M 'P 63/m m c'
_symmetry_Int_Tables_number 194
_symmetry_space_group_name_Hall '-P 6c 2c'
_cell_length_a 4.2762
_cell_length_b 4.2762
_cell_length_c 9.2059
_cell_angle_alpha 90.00
_cell_angle_beta 90.00
_cell_angle_gamma 120.00
loop_
_atom_site_label
_atom_site_fract_x
_atom_site_fract_y
_atom_site_fract_z
Y1 0.3333 0.6667 0.2500
Ge1 0.0000 0.0000 0.0000
Rh1 0.3333 0.6667 0.5759
```

Results
DFT formation energy: -76 kJ per mole of atoms
total magnetization: 0.000 Bohr magnetons per cell
calculated total energy: -7.234 eV/atom